VASP calculation (GGA-PBE) on a relaxed B3SbPt crystal.

The structure in POSCAR format:
```
B3SbPt
1.0
-1.4872 -1.6782 -3.5805
-2.4602 -2.6021 2.2415
-3.0958 2.8741 -0.0613
Sb B Pt
1 3 1
direct
0.5000 0.5000 0.5000
0.0000 0.5000 0.0000
0.0000 0.0000 0.5000
0.5000 0.0000 0.0000
0.0000 0.0000 0.0000
```

Results
- Formation energy without anion corrections: 6.0 eV/f.u.
- Total moment: 0.00 μB per formula unit
- VASP energy: -24.16 eV per formula unit


VASP calculation (GGA-PBE) on a relaxed Pu3Ge4Pt4 crystal.

The structure in POSCAR format:
```
Pu3Ge4Pt4
1.0
-1.5515 0.1137 -4.6385
-0.4460 -2.8988 0.0781
-12.4093 3.5779 6.8184
Pu Ge Pt
3 4 4
direct
0.4438 0.9438 0.8877
0.5562 0.0562 0.1123
0.0000 0.0000 0.0000
0.8068 0.3068 0.6136
0.6439 0.6439 0.2878
0.3561 0.3561 0.7122
0.1932 0.6932 0.3864
0.2672 0.2672 0.5343
0.1016 0.6016 0.2032
0.8984 0.3984 0.7968
0.7328 0.7328 0.4657
```

Results
- Total moment: 5.60 μB per formula unit
- VASP energy: -88.20 eV per formula unit
- Energy of formation: -0.23 eV/atom


VASP calculation (GGA-PBE) on a relaxed Sc2SbOs crystal.

The structure in POSCAR format:
```
Sc2SbOs
1.0
3.2448 0.0000 0.0000
0.0000 3.2482 0.0020
0.0000 3.1866 7.7044
Os Sb Sc
1 1 2
direct
0.5000 0.2500 0.2500
0.5000 0.7500 0.7500
0.0000 0.9493 0.0468
0.0000 0.5507 0.4532
```

Results
- Formation energy without anion corrections: -2.2 eV/f.u.
- Total moment: 0.00 μB per formula unit
- VASP energy: -30.25 eV per formula unit


VASP calculation (GGA-PBE) on a relaxed NdScZn2 crystal.

The structure in POSCAR format:
```
NdScZn2
1.0
3.4773 0.0000 0.0000
1.7387 3.0115 0.0000
1.7387 1.0038 9.0164
Sc Zn Nd
1 2 1
direct
0.0000 0.0000 0.0000
0.7424 0.7424 0.7727
0.2576 0.2576 0.2273
0.5000 0.5000 0.5000
```

Results
- Total moment: 0.00 μB per formula unit
- VASP energy: -13.96 eV per formula unit
- Energy of formation: -0.08 eV/atom


VASP calculation (GGA-PBE) on a relaxed Ta2InTc crystal.

The structure in POSCAR format:
```
Ta2InTc
1.0
-0.3171 2.2661 2.4931
-3.3428 -0.5237 0.0509
0.7805 -4.5693 4.2525
In Ta Tc
1 2 1
direct
0.5000 0.5000 0.7410
0.0000 0.0000 0.0202
0.5000 0.5000 0.2581
0.0000 0.0000 0.4807
```

Results
- Total moment: 0.00 μB per formula unit
- VASP energy: -36.68 eV per formula unit
- Energy of formation: 0.03 eV/atom


VASP calculation (GGA-PBE) on a relaxed U2Hg4I9 crystal.

The structure in POSCAR format:
```
U2Hg4I9
1.0
9.3485 0.0416 0.0183
4.7094 8.3391 0.0364
-0.0150 -0.2072 21.8451
U Hg I
4 8 18
direct
0.9977 0.0002 0.3419
0.9970 0.0007 0.1579
0.0023 0.9998 0.6581
0.0030 0.9993 0.8421
0.3271 0.3392 0.0022
0.3296 0.3393 0.5024
0.6729 0.6608 0.9978
0.3250 0.3432 0.1675
0.6704 0.6607 0.4976
0.6727 0.6592 0.3323
0.3273 0.3408 0.6677
0.6750 0.6568 0.8325
0.0051 0.2424 0.7507
0.2504 0.7551 0.7492
0.7517 0.0006 0.7504
0.9949 0.7576 0.2493
0.7496 0.2449 0.2508
0.2483 0.9994 0.2496
0.7318 0.0039 0.4097
0.0042 0.2538 0.4107
0.2568 0.7408 0.4091
0.7335 0.9992 0.0906
0.2593 0.7451 0.0891
0.9952 0.2585 0.0903
0.2682 0.9961 0.5903
0.9958 0.7462 0.5893
0.7432 0.2592 0.5909
0.2665 0.0008 0.9094
0.7407 0.2549 0.9109
0.0048 0.7415 0.9097
```

Results
- Formation energy without anion corrections: -8.1 eV/f.u.
- Total moment: 3.00 μB per formula unit
- VASP energy: -45.85 eV per formula unit